Record 1
Compound: TbNiSn4
Source: Alexandria
Functional: PBE
Structure: relaxed

For the energy of formation, the calculation gives -0.353 eV per atom. The calculation puts the spin magnetization at 0.000 μB per atom. The value obtained for the mass density is 8.0 Mg/m³. Its uncorrected energy is -114.17 eV per cell. As for the density of states at the Fermi level: 0.5222 states/eV/atom.

The structure belongs to space group Cmmm (No. 65); the cell edges are 4.429, 28.492 and 4.534 Å and the angles 90.00°, 90.00° and 90.00°. The asymmetric unit holds Tb at (0.000, 0.194, 0.000), Ni at (0.000, 0.448, 0.500), Sn at (0.000, 0.000, 0.500), Sn at (0.000, 0.109, 0.500), Sn at (0.000, 0.286, 0.500), Sn at (0.000, 0.392, 0.000) and Sn at (0.000, 0.500, 0.000).

***

Record 2
Compound: AcNdSc2
Source: Alexandria
Functional: PBE
Structure: relaxed

The calculation puts the energy above the most stable polymorph in this dataset at 78.0 meV per atom. For the energy of formation, the calculation gives 0.162 eV per atom. The calculation puts the spin magnetization at 0.000 μB per atom. The value obtained for the mass density is 6.0 Mg/m³. Its uncorrected energy is -62.68 eV per cell. As for the density of states at the Fermi level: 1.6617 states/eV/atom.

The structure belongs to space group R3m (No. 160, hexagonal axes); the cell edges are 3.5957, 3.5957 and 33.9503 Å and the angles 90.00°, 90.00° and 120.00°. The asymmetric unit holds Ac at (0.0000, 0.0000, 0.0000), Nd at (0.0000, 0.0000, 0.1666), Sc at (0.0000, 0.0000, 0.5803) and Sc at (0.0000, 0.0000, 0.7530).

***

Record 3
Compound: K2Tl4CdHg3
Source: Alexandria
Functional: PBE
Structure: relaxed

For the energy of formation, the calculation gives -0.095 eV per atom. The calculation puts the spin magnetization at 0.000 μB per atom. The value obtained for the mass density is 7.9 Mg/m³. Its uncorrected energy is -14.43 eV per cell. As for the density of states at the Fermi level: 0.6815 states/eV/atom.

The structure belongs to space group P-4m2 (No. 115); the cell edges are 5.040, 5.040 and 13.248 Å and the angles 90.00°, 90.00° and 90.00°. The asymmetric unit holds K at (0.000, 0.500, 0.246), Tl at (0.000, 0.000, 0.500), Tl at (0.000, 0.500, 0.868), Tl at (0.500, 0.500, 0.500), Cd at (0.500, 0.500, 0.000), Hg at (0.000, 0.000, 0.000) and Hg at (0.000, 0.500, 0.642).

***

Record 4
Compound: CePm2Ag
Source: Alexandria
Functional: PBE
Structure: relaxed

The calculation puts the energy above the most stable polymorph in this dataset at 79.2 meV per atom. For the energy of formation, the calculation gives 0.003 eV per atom. The calculation puts the spin magnetization at 0.095 μB per atom. The value obtained for the mass density is 8.1 Mg/m³. Its uncorrected energy is -18.27 eV per cell. As for the density of states at the Fermi level: 1.7774 states/eV/atom.

The structure belongs to space group P4/mmm (No. 123); the cell edges are 5.588, 5.588 and 3.527 Å and the angles 90.00°, 90.00° and 90.00°. The asymmetric unit holds Ce at (0.000, 0.000, 0.000), Pm at (0.000, 0.500, 0.500) and Ag at (0.500, 0.500, 0.000).